No. 1
Na3VP3NO9 | PBE+U | optimized geometry

```
Na3VP3NO9
1.0
-7.4268 5.8070 -1.8548
-6.0853 -7.2358 1.7125
-0.3618 2.4984 9.2707
O N Na V P
36 4 12 4 12
Cartesian
-4.7382 3.5000 6.1311 O
-12.0921 0.0524 4.4132 O
-5.4070 -5.4389 3.5349 O
-0.8803 0.1684 3.6527 O
-5.7359 -3.1990 5.3997 O
-9.8120 3.7373 7.4469 O
-9.3216 4.8259 5.1744 O
-5.7333 -3.6963 8.8709 O
-9.1377 2.3296 5.5056 O
-6.8655 -1.0047 5.0618 O
-7.7012 3.3237 -0.9786 O
-6.9895 -0.6679 9.3624 O
-7.1878 -4.9203 7.1457 O
-9.4819 3.8372 1.2948 O
-3.3153 -0.1691 4.3923 O
-8.0911 -4.6337 4.4011 O
-8.2200 -1.1689 1.8538 O
-8.3785 1.1525 0.8734 O
-6.2954 3.9022 4.1847 O
-6.3567 1.7088 5.5171 O
-10.9984 -2.0525 3.4318 O
-6.6484 6.4362 6.2930 O
-9.3705 -1.3786 8.7174 O
-4.5897 2.5051 8.8863 O
-4.4729 2.1785 2.3578 O
-2.8732 2.3998 0.3623 O
-5.6703 5.1298 8.2745 O
-7.8748 0.9225 3.3020 O
-3.1199 -2.0382 0.5074 O
-4.9785 -1.2304 6.7876 O
-8.1206 0.2409 7.2962 O
-11.1403 1.6407 0.3698 O
-9.7210 -0.4906 4.9495 O
-11.1476 -0.9259 0.3175 O
-5.1225 -1.0140 1.7446 O
-2.1404 3.2909 7.4768 O
-2.7608 0.2128 1.8165 N
-7.3128 3.8822 6.6450 N
-10.3114 0.3458 2.5019 N
-7.3628 -2.3016 7.2936 N
-7.1249 1.8606 9.1064 Na
-6.4621 3.3859 1.8700 Na
-5.4592 0.4209 3.5920 Na
-4.8050 -1.5378 9.1244 Na
-6.5647 -2.7733 2.4357 Na
-9.8841 -3.0546 5.4888 Na
-3.5561 0.6660 6.6053 Na
-10.6380 3.3255 3.5954 Na
-7.5034 5.9331 4.1480 Na
-11.1648 0.8608 7.3460 Na
-9.9801 -2.6770 1.3926 Na
-0.1007 0.0078 0.0663 Na
-6.3450 -5.1381 5.3149 V
-8.0533 0.6209 5.2987 V
-9.4114 2.5051 -0.2411 V
-3.9381 4.1514 7.8844 V
-2.2571 -0.4507 3.3428 P
-6.8922 5.4028 7.3761 P
-8.6169 0.2709 2.1190 P
-10.8137 -0.6105 3.8646 P
-6.1391 3.2343 5.5376 P
-7.0767 -3.7753 8.1711 P
-11.3886 0.3274 1.1370 P
-3.0809 1.9220 1.8126 P
-3.8813 -0.7605 0.9105 P
-7.9630 -0.9718 8.2396 P
-6.1606 -1.8926 6.1057 P
-8.9732 3.7217 6.1542 P
```

Output
uncorrected energy = -6.804 eV/atom
crystal system = cubic

***

No. 2
ZrFe2NiO | PBE+U | optimized geometry

```
ZrFe2NiO
1.0
-2.7456 1.9548 -2.5538
-3.1317 -1.5551 2.1765
0.0688 3.3927 2.5230
Ni Zr Fe O
1 1 2 1
Cartesian
-1.5658 -0.7775 1.0883 Ni
-2.9042 1.8962 1.0729 Zr
-1.3728 0.9774 -1.2769 Fe
0.0344 1.6964 1.2615 Fe
0.0000 0.0000 0.0000 O
```

Output
uncorrected energy = -5.356 eV/atom
crystal system = tetragonal

***

Q: Look up the uncorrected energy of the first one.
A: -6.804 eV/atom